# KBaBiWO6, relaxed, DFT PBE+U
# total DFT energy (no corrections): -6.431 eV per atom
data_KBaBiWO6
_chemical_formula_sum 'K4 Ba4 Bi4 W4 O24'
_cell_length_a 8.603
_cell_length_b 8.603
_cell_length_c 8.603
_cell_angle_alpha 90.00
_cell_angle_beta 90.00
_cell_angle_gamma 90.00
_symmetry_space_group_name_H-M 'F -4 3 m'
_symmetry_Int_Tables_number 216
_symmetry_space_group_name_Hall 'F -4 2 3'
loop_
_atom_site_label
_atom_site_fract_x
_atom_site_fract_y
_atom_site_fract_z
_atom_site_occupancy
K1 0.000 0.000 0.000 1
Ba1 0.000 0.000 0.500 1
Bi1 0.250 0.250 0.750 1
W1 0.250 0.250 0.250 1
O1 0.022 0.250 0.250 1